Record 1
## Ta4ZnCd (GGA-PBE)

Data for a relaxed Ta4ZnCd crystal.

abc: 7.7787 7.7787 7.7787
angles: 90.00 90.00 90.00
With the nearest neighbours (Å) after each atom.
Space group F-43m (No. 216)
Inequivalent atoms, fractional coordinates:
Ta1 0.1246 0.1246 0.1246 x16  6 Ta 2.74-2.76
Zn1 0.2500 0.2500 0.7500 x4  12 Ta 3.22, 4 Cd 3.37
Cd1 0.0000 0.0000 0.5000 x4  12 Ta 3.23, 4 Zn 3.37

Values from the calculation:
- Final energy: -7.73 eV/atom
- Magnetization: 0.00 Bohr magnetons per cell
- ΔH_f (0 K): 0.538 eV/atom



Record 2
## BaTl3Cu2F9 (GGA-PBE)

Data for a relaxed BaTl3Cu2F9 crystal.

abc: 6.0940 6.0940 8.2810
angles: 90.00 90.00 120.00
With the nearest neighbours (Å) after each atom.
Space group P-3m1 (No. 164)
Inequivalent atoms, fractional coordinates:
Ba1 0.0000 0.0000 0.0000 x1  6 F 2.58
Tl1 0.0000 0.0000 0.5000 x1  12 F 2.99-3.05
Tl2 0.3333 0.6667 0.2400 x2  9 F 2.78-3.05
Cu1 0.3333 0.6667 0.6485 x2  6 F 2.00-2.15
F1 0.0000 0.5000 0.5000 x3  2 Cu 2.15
F2 0.1759 0.3517 0.7835 x6  1 Cu 2.00

Values from the calculation:
- Final energy: -4.33 eV/atom
- Magnetization: 2.00 Bohr magnetons per cell
- Uncorrected formation energy: -2.061 eV/atom



Record 3
## RbZnSi2Tc (GGA-PBE)

Data for a relaxed RbZnSi2Tc crystal.

abc: 4.6939 4.6939 5.1393
angles: 90.00 90.00 90.00
With the nearest neighbours (Å) after each atom.
Space group P4/mmm (No. 123)
Inequivalent atoms, fractional coordinates:
Rb1 0.0000 0.0000 0.0000 x1  4 Zn 3.32, 8 Si 3.48
Zn1 0.5000 0.5000 0.0000 x1  2 Tc 2.57
Si1 0.0000 0.5000 0.5000 x2  2 Tc 2.35
Tc1 0.5000 0.5000 0.5000 x1  4 Si 2.35, 2 Zn 2.57

Values from the calculation:
- Final energy: -4.67 eV/atom
- Magnetization: 0.00 Bohr magnetons per cell
- Uncorrected formation energy: 0.017 eV/atom



Record 4
## SrO4 (GGA-PBE)

Data for a relaxed SrO4 crystal.

abc: 4.9557 4.9557 4.9557
angles: 90.00 90.00 90.00
With the nearest neighbours (Å) after each atom.
Space group Pm-3m (No. 221)
Inequivalent atoms, fractional coordinates:
Sr1 0.0000 0.0000 0.0000 x1  6 O 2.48
O1 0.0000 0.0000 0.5000 x3  2 Sr 2.48
O2 0.5000 0.5000 0.5000 x1  12 O 3.50

Values from the calculation:
- Final energy: -3.86 eV/atom
- Magnetization: 6.00 Bohr magnetons per cell
- Excess energy over the best structure of this formula in the dataset: 1469 meV/atom
- Uncorrected formation energy: 0.447 eV/atom



Record 5
## MgVZnOs (GGA-PBE)

Data for a relaxed MgVZnOs crystal.

abc: 6.1496 6.1496 6.1496
angles: 90.00 90.00 90.00
With the nearest neighbours (Å) after each atom.
Space group F-43m (No. 216)
Inequivalent atoms, fractional coordinates:
Mg1 0.0000 0.0000 0.0000 x4  4 Os 2.66, 4 Zn 2.66
V1 0.0000 0.0000 0.5000 x4  4 Os 2.66, 4 Zn 2.66
Zn1 0.2500 0.2500 0.7500 x4  4 Mg 2.66, 4 V 2.66
Os1 0.2500 0.2500 0.2500 x4  4 Mg 2.66, 4 V 2.66

Values from the calculation:
- Final energy: -5.80 eV/atom
- Magnetization: 2.22 Bohr magnetons per cell
- ΔH_f (0 K): 0.002 eV/atom



Record 6
## Nd2Co (GGA-PBE)

Data for a relaxed Nd2Co crystal.

abc: 8.7808 8.7808 8.7808
angles: 90.00 90.00 90.00
With the nearest neighbours (Å) after each atom.
Space group Fd-3m (No. 227, origin choice 2)
Inequivalent atoms, fractional coordinates:
Nd1 0.0000 0.0000 0.0000 x16  6 Nd 3.10
Co1 0.1250 0.1250 0.6250 x8  12 Nd 3.64, 4 Co 3.80

Values from the calculation:
- Final energy: -4.43 eV/atom
- Magnetization: 12.96 Bohr magnetons per cell
- ΔH_f (0 K): 1.116 eV/atom



Record 7
## TcBr (GGA-PBE)

Data for a relaxed TcBr crystal.

abc: 4.3728 13.5421 3.6744
angles: 90.00 90.00 90.00
With the nearest neighbours (Å) after each atom.
Space group Cmcm (No. 63)
Inequivalent atoms, fractional coordinates:
Tc1 0.0000 0.0498 0.2500 x4  2 Tc 2.28, 2 Br 2.51
Br1 0.0000 0.3589 0.7500 x4  2 Tc 2.51

Values from the calculation:
- Final energy: -5.78 eV/atom
- Magnetization: 0.00 Bohr magnetons per cell
- Excess energy over the best structure of this formula in the dataset: 192 meV/atom
- Uncorrected formation energy: 0.235 eV/atom



Record 8
## La4TlSn2Hg (GGA-PBE)

Data for a relaxed La4TlSn2Hg crystal.

abc: 5.5837 5.5837 27.2994
angles: 90.00 90.00 120.00
With the nearest neighbours (Å) after each atom.
Space group R-3m (No. 166, hexagonal axes)
Inequivalent atoms, fractional coordinates:
La1 0.0000 0.0000 0.1243 x6  1 Hg 3.39, 4 Sn 3.42-3.46, 3 Tl 3.43
La2 0.0000 0.0000 0.3745 x6  4 Sn 3.37-3.41, 3 Hg 3.41, 1 Tl 3.43
Tl1 0.0000 0.0000 0.5000 x3  8 La 3.43
Sn1 0.0000 0.0000 0.2511 x6  8 La 3.37-3.46
Hg1 0.0000 0.0000 0.0000 x3  8 La 3.39-3.41

Values from the calculation:
- Final energy: -4.41 eV/atom
- Magnetization: 0.00 Bohr magnetons per cell
- ΔH_f (0 K): -0.611 eV/atom



Record 9
## NbReTe2P (GGA-PBE)

Data for a relaxed NbReTe2P crystal.

abc: 5.4797 5.4797 4.6700
angles: 90.00 90.00 90.00
With the nearest neighbours (Å) after each atom.
Space group P4/mmm (No. 123)
Inequivalent atoms, fractional coordinates:
Nb1 0.0000 0.0000 0.0000 x1  2 P 2.34
Re1 0.5000 0.5000 0.5000 x1  8 Te 3.60, 4 P 3.87
Te1 0.0000 0.5000 0.0000 x2  2 Nb 2.74
P1 0.0000 0.0000 0.5000 x1  2 Nb 2.34

Values from the calculation:
- Final energy: -5.56 eV/atom
- Magnetization: 4.72 Bohr magnetons per cell
- Uncorrected formation energy: 1.282 eV/atom



Record 10
## Ac2ZnPb2 (GGA-PBE)

Data for a relaxed Ac2ZnPb2 crystal.

abc: 4.8755 17.8436 8.0503
angles: 90.00 90.00 90.00
With the nearest neighbours (Å) after each atom.
Space group Cmc2_1 (No. 36)
Inequivalent atoms, fractional coordinates:
Ac1 0.0000 0.0218 0.0000 x4  5 Pb 3.33-3.47, 2 Zn 3.38
Ac2 0.0000 0.2132 0.3270 x4  5 Pb 3.34-3.49
Zn1 0.0000 0.4117 0.1584 x4  4 Pb 2.87-3.07
Pb1 0.0000 0.1656 0.7371 x4  2 Zn 2.87
Pb2 0.0000 0.4253 0.7806 x4  2 Zn 3.05-3.07

Values from the calculation:
- Final energy: -3.80 eV/atom
- Magnetization: 0.00 Bohr magnetons per cell
- ΔH_f (0 K): -0.416 eV/atom
- Excess energy over the best structure of this formula in the dataset: 32 meV/atom



Record 11
## HoNb4Ga4 (GGA-PBE)

Data for a relaxed HoNb4Ga4 crystal.

abc: 8.0483 8.0483 5.2069
angles: 90.00 90.00 90.00
With the nearest neighbours (Å) after each atom.
Space group P4_2/n (No. 86, origin choice 2)
Inequivalent atoms, fractional coordinates:
Ho1 0.2500 0.2500 0.2500 x2  4 Ga 2.92, 4 Nb 2.95
Nb1 0.1041 0.8077 0.6322 x8  1 Nb 2.52, 3 Ga 2.76-2.81
Ga1 0.0402 0.1230 0.8364 x8  3 Ga 2.69-2.93, 4 Nb 2.76-2.89, 1 Ho 2.92

Values from the calculation:
- Final energy: -6.40 eV/atom
- Magnetization: 0.00 Bohr magnetons per cell
- ΔH_f (0 K): -0.074 eV/atom



Record 12
## Zn2SiIr (GGA-PBE)

Data for a relaxed Zn2SiIr crystal.

abc: 9.4964 2.8076 4.2651
angles: 90.00 95.66 90.00
With the nearest neighbours (Å) after each atom.
Space group C2/m (No. 12)
Inequivalent atoms, fractional coordinates:
Zn1 0.2421 0.0000 0.2470 x4  6 Zn 2.55-2.81, 1 Si 2.63, 3 Ir 2.76-2.81
Si1 0.0000 0.0000 0.5000 x2  4 Ir 2.55, 2 Zn 2.63, 2 Si 2.81
Ir1 0.0000 0.5000 0.0000 x2  4 Si 2.55, 6 Zn 2.76-2.81, 2 Ir 2.81

Values from the calculation:
- Final energy: -4.32 eV/atom
- Magnetization: 0.00 Bohr magnetons per cell
- Uncorrected formation energy: -0.107 eV/atom



Record 13
## TlCrTc2 (GGA-PBE)

Data for a relaxed TlCrTc2 crystal.

abc: 3.8620 3.8620 8.5686
angles: 90.00 90.00 90.00
With the nearest neighbours (Å) after each atom.
Space group I4/mmm (No. 139)
Inequivalent atoms, fractional coordinates:
Tl1 0.0000 0.0000 0.0000 x2  4 Cr 2.73, 8 Tc 2.88
Cr1 0.0000 0.0000 0.5000 x2  4 Tl 2.73, 8 Tc 2.88
Tc1 0.0000 0.5000 0.2500 x4  4 Tc 2.73, 4 Cr 2.88, 4 Tl 2.88

Values from the calculation:
- Final energy: -7.55 eV/atom
- Magnetization: 3.09 Bohr magnetons per cell
- ΔH_f (0 K): 0.634 eV/atom
- Excess energy over the best structure of this formula in the dataset: 203 meV/atom



Record 14
## PmTmCo (GGA-PBE)

Data for a relaxed PmTmCo crystal.

abc: 6.6019 6.6940 8.0391
angles: 90.00 123.21 90.00
With the nearest neighbours (Å) after each atom.
Space group P2_1/c (No. 14)
Inequivalent atoms, fractional coordinates:
Pm1 0.2007 0.1585 0.4202 x4  3 Co 2.85-2.90
Tm1 0.3011 0.6593 0.5936 x4  3 Co 2.62-2.64
Co1 0.2874 0.5219 0.2812 x4  3 Tm 2.62-2.64, 3 Pm 2.85-2.90

Values from the calculation:
- Final energy: -5.50 eV/atom
- Magnetization: 0.00 Bohr magnetons per cell
- ΔH_f (0 K): -0.058 eV/atom
- Excess energy over the best structure of this formula in the dataset: 67 meV/atom



Record 15
## LaTaPt2 (GGA-PBE)

Data for a relaxed LaTaPt2 crystal.

abc: 3.4781 3.4781 6.9326
angles: 90.00 90.00 90.00
With the nearest neighbours (Å) after each atom.
Space group P4mm (No. 99)
Inequivalent atoms, fractional coordinates:
La1 0.0000 0.0000 0.0000 x1  4 Pt 3.06
Ta1 0.5000 0.5000 0.6513 x1  5 Pt 2.69
Pt1 0.0000 0.0000 0.4948 x1  4 Ta 2.69, 4 Pt 2.94
Pt2 0.5000 0.5000 0.2625 x1  1 Ta 2.69, 4 Pt 2.94

Values from the calculation:
- Final energy: -7.64 eV/atom
- Magnetization: 0.00 Bohr magnetons per cell
- ΔH_f (0 K): -0.428 eV/atom
- Excess energy over the best structure of this formula in the dataset: 348 meV/atom



Record 16
## TaBe2Fe (GGA-PBE)

Data for a relaxed TaBe2Fe crystal.

abc: 5.6623 5.6748 5.6967
angles: 90.00 90.00 90.00
With the nearest neighbours (Å) after each atom.
Space group F222 (No. 22)
Inequivalent atoms, fractional coordinates:
Ta1 0.0000 0.0000 0.0000 x4  4 Be 2.46, 4 Fe 2.46
Be1 0.0000 0.0000 0.5000 x4  4 Fe 2.46, 4 Be 2.46
Be2 0.2500 0.2500 0.2500 x4  4 Ta 2.46, 4 Be 2.46
Fe1 0.2500 0.2500 0.7500 x4  4 Ta 2.46, 4 Be 2.46

Values from the calculation:
- Final energy: -6.97 eV/atom
- Magnetization: 0.00 Bohr magnetons per cell
- ΔH_f (0 K): -0.028 eV/atom
- Excess energy over the best structure of this formula in the dataset: 58 meV/atom



Record 17
## Fe2HgW (GGA-PBE)

Data for a relaxed Fe2HgW crystal.

abc: 2.9192 2.9192 7.0492
angles: 90.00 90.00 90.00
With the nearest neighbours (Å) after each atom.
Space group P4mm (No. 99)
Inequivalent atoms, fractional coordinates:
Fe1 0.0000 0.0000 0.0000 x1  4 Fe 2.46, 4 W 2.58
Fe2 0.5000 0.5000 0.1900 x1  4 Fe 2.46
Hg1 0.0000 0.0000 0.4659 x1  4 Fe 2.84, 4 Hg 2.92, 4 W 3.03
W1 0.5000 0.5000 0.7810 x1  5 Fe 2.58-2.88

Values from the calculation:
- Final energy: -7.15 eV/atom
- Magnetization: 4.59 Bohr magnetons per cell
- ΔH_f (0 K): 0.396 eV/atom



Record 18
## CaTi2Mn (GGA-PBE)

Data for a relaxed CaTi2Mn crystal.

abc: 6.5205 6.5205 6.5205
angles: 90.00 90.00 90.00
With the nearest neighbours (Å) after each atom.
Space group Fm-3m (No. 225)
Inequivalent atoms, fractional coordinates:
Ca1 0.0000 0.0000 0.0000 x4  8 Ti 2.82
Ti1 0.2500 0.2500 0.2500 x8  4 Mn 2.82, 4 Ca 2.82
Mn1 0.0000 0.0000 0.5000 x4  8 Ti 2.82

Values from the calculation:
- Final energy: -6.19 eV/atom
- Magnetization: 0.00 Bohr magnetons per cell
- ΔH_f (0 K): 0.553 eV/atom
- Excess energy over the best structure of this formula in the dataset: 0 meV/atom



Record 19
## Cs2NpAl2S6 (GGA-PBE)

Data for a relaxed Cs2NpAl2S6 crystal.

abc: 7.3760 7.3760 22.4344
angles: 90.00 90.00 120.00
With the nearest neighbours (Å) after each atom.
Space group R-3m (No. 166, hexagonal axes)
Inequivalent atoms, fractional coordinates:
Cs1 0.0000 0.0000 0.2157 x6  9 S 3.77-3.80, 1 Al 4.19
Np1 0.0000 0.0000 0.0000 x3  6 S 2.70
Al1 0.0000 0.0000 0.4026 x6  3 S 2.17
S1 0.0058 0.5029 0.7428 x18  1 Al 2.17

Values from the calculation:
- Final energy: -5.36 eV/atom
- Magnetization: 9.00 Bohr magnetons per cell
- Uncorrected formation energy: -1.101 eV/atom



Record 20
## Th2Ga4RhAu3 (GGA-PBE)

Data for a relaxed Th2Ga4RhAu3 crystal.

abc: 4.3826 4.3826 10.4963
angles: 90.00 90.00 90.00
With the nearest neighbours (Å) after each atom.
Space group P-4m2 (No. 115)
Inequivalent atoms, fractional coordinates:
Th1 0.0000 0.5000 0.2383 x2  8 Ga 3.31-3.51, 2 Rh 3.33, 6 Au 3.33-3.38
Ga1 0.0000 0.0000 0.5000 x1  4 Au 2.61
Ga2 0.0000 0.5000 0.8728 x2  3 Au 2.50-2.57, 2 Rh 2.57
Ga3 0.5000 0.5000 0.5000 x1  4 Au 2.61
Rh1 0.5000 0.5000 0.0000 x1  4 Ga 2.57
Au1 0.0000 0.0000 0.0000 x1  4 Ga 2.57
Au2 0.0000 0.5000 0.6344 x2  5 Ga 2.50-2.61

Values from the calculation:
- Final energy: -5.04 eV/atom
- Magnetization: 0.00 Bohr magnetons per cell
- ΔH_f (0 K): -0.623 eV/atom



Record 21
## Tb2DyHg7 (GGA-PBE)

Data for a relaxed Tb2DyHg7 crystal.

abc: 5.0393 5.0393 11.8509
angles: 90.00 90.00 120.00
With the nearest neighbours (Å) after each atom.
Space group P3m1 (No. 156)
Inequivalent atoms, fractional coordinates:
Tb1 0.0000 0.0000 0.0000 x1  5 Hg 2.89-3.17
Tb2 0.3333 0.6667 0.7731 x1  6 Hg 2.94-3.24
Dy1 0.6667 0.3333 0.3334 x1  7 Hg 3.10-3.35
Hg1 0.0000 0.0000 0.2443 x1  1 Tb 2.89, 4 Hg 2.95-3.21, 3 Dy 3.10
Hg2 0.0000 0.0000 0.4936 x1  8 Hg 2.91-3.25
Hg3 0.0000 0.0000 0.7389 x1  4 Hg 2.91-3.25, 4 Tb 2.94-3.09
Hg4 0.3333 0.6667 0.1307 x1  4 Hg 3.21-3.53, 3 Tb 3.30
Hg5 0.3333 0.6667 0.4285 x1  3 Hg 3.01, 3 Dy 3.12
Hg6 0.6667 0.3333 0.6160 x1  7 Hg 3.25-3.30, 1 Dy 3.35, 3 Tb 3.45
Hg7 0.6667 0.3333 0.8942 x1  6 Tb 3.17-3.24, 4 Hg 3.30-3.44

Values from the calculation:
- Final energy: -1.86 eV/atom
- Magnetization: 0.00 Bohr magnetons per cell
- ΔH_f (0 K): -0.262 eV/atom



Record 22
## NdZr2Zn (GGA-PBE)

Data for a relaxed NdZr2Zn crystal.

abc: 3.2036 3.2036 32.7899
angles: 90.00 90.00 120.00
With the nearest neighbours (Å) after each atom.
Space group R-3m (No. 166, hexagonal axes)
Inequivalent atoms, fractional coordinates:
Nd1 0.0000 0.0000 0.0000 x3  6 Nd 3.20, 2 Zr 3.24
Zr1 0.0000 0.0000 0.0987 x6  3 Zn 2.90, 6 Zr 3.20, 1 Nd 3.24
Zn1 0.0000 0.0000 0.5000 x3  6 Zr 2.90, 6 Zn 3.20

Values from the calculation:
- Final energy: -5.54 eV/atom
- Magnetization: 0.00 Bohr magnetons per cell
- ΔH_f (0 K): 0.240 eV/atom
- Excess energy over the best structure of this formula in the dataset: 259 meV/atom



Record 23
## HfTa2Mn2 (GGA-PBE)

Data for a relaxed HfTa2Mn2 crystal.

abc: 7.2019 7.2019 3.1157
angles: 90.00 90.00 90.00
With the nearest neighbours (Å) after each atom.
Space group P4/mbm (No. 127)
Inequivalent atoms, fractional coordinates:
Hf1 0.0000 0.0000 0.0000 x2  4 Mn 2.79, 2 Hf 3.12
Ta1 0.1538 0.3462 0.5000 x4  6 Mn 2.61-2.64
Mn1 0.1369 0.6369 0.0000 x4  6 Ta 2.61-2.64, 1 Mn 2.79, 2 Hf 2.79

Values from the calculation:
- Final energy: -10.30 eV/atom
- Magnetization: 0.00 Bohr magnetons per cell
- ΔH_f (0 K): 0.096 eV/atom



Record 24
## TbPr2Cd8 (GGA-PBE)

Data for a relaxed TbPr2Cd8 crystal.

abc: 8.4496 16.0902 5.3635
angles: 90.00 129.37 90.00
With the nearest neighbours (Å) after each atom.
Space group C2/m (No. 12)
Inequivalent atoms, fractional coordinates:
Tb1 0.0000 0.0000 0.0000 x2  6 Cd 3.17-3.53
Pr1 0.0000 0.3086 0.5000 x4  12 Cd 3.23-3.41
Cd1 0.0000 0.1972 0.0000 x4  1 Tb 3.17, 4 Pr 3.23-3.27, 6 Cd 3.28-3.39
Cd2 0.0009 0.5000 0.2532 x4  2 Cd 2.66-2.71
Cd3 0.2257 0.1237 0.7262 x8  5 Cd 2.95-3.28

Values from the calculation:
- Final energy: -2.21 eV/atom
- Magnetization: 0.00 Bohr magnetons per cell
- ΔH_f (0 K): -0.256 eV/atom



Record 25
## Ac3LaNi (GGA-PBE)

Data for a relaxed Ac3LaNi crystal.

abc: 5.8012 5.8012 5.8012
angles: 90.00 90.00 90.00
With the nearest neighbours (Å) after each atom.
Space group Pm-3m (No. 221)
Inequivalent atoms, fractional coordinates:
Ac1 0.0000 0.0000 0.5000 x3  2 Ni 2.90
La1 0.5000 0.5000 0.5000 x1  12 Ac 4.10
Ni1 0.0000 0.0000 0.0000 x1  6 Ac 2.90

Values from the calculation:
- Final energy: -4.61 eV/atom
- Magnetization: 0.00 Bohr magnetons per cell
- ΔH_f (0 K): -0.004 eV/atom
- Excess energy over the best structure of this formula in the dataset: 108 meV/atom